9
Lattice="-3.6030 3.3361 -6.2030 -0.4128 -7.8931 0.3423 -3.2115 1.5701 7.0575" Properties=species:S:1:pos:R:3 comment="Rb2VI5Br, relaxed, DFT GGA-PBE" density_g_cm3=4.20 total_magnetization_mub_per_cell=1.0 raw_formation_energy_kcal_per_mol_atoms=-21.1 space_group="I4mm (107)" pbc="T T T"
Rb -4.3092 0.8796 2.2688
Rb -2.9099 -3.8520 -1.0888
V -3.6088 -6.2959 7.3682
I -2.5203 0.0938 -1.1826
I -4.6929 -3.0560 2.3507
I -1.0589 -5.6724 1.8950
I -2.5514 -0.6259 5.4761
I -0.9124 -1.5918 1.8629
Br -2.7640 -4.8220 5.6433

9
Lattice="7.6865 -0.1217 -0.1767 -3.7569 6.7070 0.1766 -3.7569 -2.2233 6.3303" Properties=species:S:1:pos:R:3 comment="Rb2VIBr5, relaxed, DFT GGA-PBE" density_g_cm3=3.88 total_magnetization_mub_per_cell=1.0 raw_formation_energy_kcal_per_mol_atoms=-26.8 space_group="I4mm (107)" pbc="T T T"
Rb 0.0808 -0.0483 4.7083
Rb 0.0808 4.4169 1.6315
V -0.0478 0.0286 0.0415
I 2.0377 3.2491 4.7152
Br 1.7979 0.9805 1.4229
Br -1.6435 3.3925 4.9233
Br 3.9204 4.5374 1.4228
Br 3.9204 -0.2862 4.7467
Br 5.9173 0.9340 1.3554

9
Lattice="-3.6214 1.2233 5.5135 3.2188 -6.6493 2.4846 7.0025 0.4753 3.3891" Properties=species:S:1:pos:R:3 comment="Rb2VI4Br2, relaxed, DFT GGA-PBE" density_g_cm3=4.11 total_magnetization_mub_per_cell=1.0 raw_formation_energy_kcal_per_mol_atoms=-22.1 space_group="C2/m (12)" pbc="T T T"
Rb 5.6253 -3.6729 5.3988
Rb 0.9746 -1.2778 5.9885
V -1.8107 0.6117 2.7568
I 2.1755 -3.9854 3.5206
I 2.4745 -4.6368 7.4006
I 4.4244 -0.9653 7.8667
I 4.1254 -0.3139 3.9867
Br 0.3266 -0.4781 2.3994
Br 6.2733 -4.4726 8.9879

5
Lattice="-5.4539 -0.9657 -1.6430 1.6898 -0.1472 -5.5227 0.8091 -5.2274 0.3869" Properties=species:S:1:pos:R:3 comment="RbVI2Br, relaxed, DFT GGA-PBE" density_g_cm3=4.41 total_magnetization_mub_per_cell=3.0 raw_formation_energy_kcal_per_mol_atoms=-19.8 space_group="P4/mmm (123)" pbc="T T T"
I 0.8449 -0.0736 -2.7613
I -2.7270 -0.4829 -0.8215
Br 0.4045 -2.6137 0.1934
Rb -1.4775 -3.1701 -3.3894
V 0.0000 0.0000 0.0000